[1]
DFT (GGA-PBE) results for a geometry-optimized Cs4Y3BiO8 structure.

a = 7.1998 Å, b = 7.1998 Å, c = 20.7019 Å
α = 90.00°, β = 90.00°, γ = 120.00°
Space group R-3m (No. 166, hexagonal axes)
One atom of each set of equivalent atoms:
Cs 0.0000 0.0000 0.0000 (multiplicity 3)
Cs 0.0000 0.5000 0.0000 (multiplicity 9)
Y 0.0000 0.5000 0.5000 (multiplicity 9)
Bi 0.0000 0.0000 0.5000 (multiplicity 3)
O 0.0000 0.0000 0.2217 (multiplicity 6)
O 0.0121 0.5061 0.7771 (multiplicity 18)



[2]
DFT (GGA-PBE) results for a geometry-optimized Cs2YBiO4 structure.

a = 6.2968 Å, b = 14.0473 Å, c = 21.7951 Å
α = 90.00°, β = 90.00°, γ = 90.00°
Space group Fddd (No. 70, origin choice 2)
One atom of each set of equivalent atoms:
Cs 0.1250 0.1250 0.3078 (multiplicity 16)
Y 0.1250 0.1250 0.1250 (multiplicity 8)
Bi 0.1250 0.1250 0.6250 (multiplicity 8)
O 0.1103 0.2900 0.4208 (multiplicity 32)



[3]
DFT (GGA-PBE) results for a geometry-optimized CsZnBiO3 structure.

a = 8.3912 Å, b = 3.5891 Å, c = 8.6496 Å
α = 90.00°, β = 101.44°, γ = 90.00°
Space group P2_1/m (No. 11)
One atom of each set of equivalent atoms:
Cs 0.1967 0.2500 0.1674 (multiplicity 2)
Zn 0.4087 0.7500 0.8933 (multiplicity 2)
Bi 0.1634 0.2500 0.6210 (multiplicity 2)
O 0.0961 0.7500 0.4196 (multiplicity 2)
O 0.1712 0.7500 0.7961 (multiplicity 2)
O 0.4884 0.7500 0.1358 (multiplicity 2)



[4]
DFT (GGA-PBE) results for a geometry-optimized Cs3Zn2BiO6 structure.

a = 6.2113 Å, b = 6.2113 Å, c = 7.7876 Å
α = 90.00°, β = 90.00°, γ = 120.00°
Space group P-3m1 (No. 164)
One atom of each set of equivalent atoms:
Cs 0.0000 0.0000 0.0000 (multiplicity 1)
Cs 0.3333 0.6667 0.7642 (multiplicity 2)
Zn 0.3333 0.6667 0.3521 (multiplicity 2)
Bi 0.0000 0.0000 0.5000 (multiplicity 1)
O 0.1583 0.3166 0.3256 (multiplicity 6)



[5]
DFT (GGA-PBE) results for a geometry-optimized CsZn2Bi2O6 structure.

a = 6.2934 Å, b = 6.7436 Å, c = 6.8492 Å
α = 119.08°, β = 90.20°, γ = 117.54°
Space group P-1 (No. 2)
One atom of each set of equivalent atoms:
Cs 0.0000 0.0000 0.0000 (multiplicity 1)
Zn 0.4086 0.7340 0.4598 (multiplicity 2)
Bi 0.3204 0.6416 0.9642 (multiplicity 2)
O 0.1114 0.5641 0.2140 (multiplicity 2)
O 0.3956 0.2992 0.7629 (multiplicity 2)
O 0.4960 0.1131 0.2211 (multiplicity 2)



[6]
DFT (GGA-PBE) results for a geometry-optimized Cs2Zn2BiO6 structure.

a = 5.6688 Å, b = 5.6688 Å, c = 6.9328 Å
α = 90.00°, β = 90.00°, γ = 120.00°
Space group P-3 (No. 147)
One atom of each set of equivalent atoms:
Cs 0.3333 0.6667 0.4992 (multiplicity 2)
Zn 0.3333 0.6667 0.9996 (multiplicity 2)
Bi 0.0000 0.0000 0.0000 (multiplicity 1)
O 0.0001 0.3323 0.8435 (multiplicity 6)



| no. | DOS(E_F) (states/eV per cell) | uncorrected formation energy (eV per atom) |
| --- | --- | --- |
| 1 | 0.0 | -2.262 |
| 2 | 0.0 | -1.682 |
| 3 | 0.0 | -1.311 |
| 4 | 2.7 | -1.214 |
| 5 | 4.3 | -1.123 |
| 6 | 9.1 | -1.068 |